A plane-wave DFT calculation with meta-GGA SCAN was carried out for a crystal of LaMgSb2 relaxed with PBEsol.

Output
Raw formation energy: -0.67 eV per atom
Calculated volume: 108.7 Å³ per cell
E: -31.32 eV/atom

The structure in CIF format:
```
data_LaMgSb2
_chemical_formula_sum 'La1 Mg1 Sb2'
_symmetry_space_group_name_H-M 'P m m 2'
_symmetry_Int_Tables_number 25
_cell_length_a 5.517
_cell_length_b 5.519
_cell_length_c 3.570
_cell_angle_alpha 90.00
_cell_angle_beta 90.00
_cell_angle_gamma 90.00
loop_
_symmetry_equiv_pos_as_xyz
'x,y,z'
'-x,-y,z'
'-x,y,z'
'x,-y,z'
loop_
_atom_site_label
_atom_site_type_symbol
_atom_site_fract_x
_atom_site_fract_y
_atom_site_fract_z
La1 La 0.000 0.000 0.000
Mg1 Mg 0.500 0.500 0.002
Sb1 Sb 0.000 0.500 0.563
Sb2 Sb 0.500 0.000 0.438
```

---

A plane-wave DFT calculation with meta-GGA SCAN was carried out for a crystal of La2MgSb2 relaxed with PBEsol.

Output
Raw formation energy: -1.04 eV per atom
Calculated volume: 292.7 Å³ per cell
E: -34.19 eV/atom

The structure in CIF format:
```
data_La2MgSb2
_chemical_formula_sum 'La4 Mg2 Sb4'
_symmetry_space_group_name_H-M 'P 4/m b m'
_symmetry_Int_Tables_number 127
_symmetry_space_group_name_Hall '-P 4 2ab'
_cell_length_a 8.206
_cell_length_b 8.206
_cell_length_c 4.346
_cell_angle_alpha 90.00
_cell_angle_beta 90.00
_cell_angle_gamma 90.00
loop_
_atom_site_label
_atom_site_type_symbol
_atom_site_fract_x
_atom_site_fract_y
_atom_site_fract_z
La1 La 0.153 0.347 0.000
Mg1 Mg 0.000 0.000 0.500
Sb1 Sb 0.154 0.654 0.500
```

---

A plane-wave DFT calculation with meta-GGA SCAN was carried out for a crystal of La2YMgSb relaxed with PBEsol.

Output
Raw formation energy: 0.30 eV per atom
Calculated volume: 165.8 Å³ per cell
E: -30.96 eV/atom

The structure in CIF format:
```
data_La2YMgSb
_chemical_formula_sum 'La2 Y1 Mg1 Sb1'
_symmetry_space_group_name_H-M 'P 4/m m m'
_symmetry_Int_Tables_number 123
_symmetry_space_group_name_Hall '-P 4 2'
_cell_length_a 5.655
_cell_length_b 5.655
_cell_length_c 5.183
_cell_angle_alpha 90.00
_cell_angle_beta 90.00
_cell_angle_gamma 90.00
loop_
_atom_site_label
_atom_site_type_symbol
_atom_site_fract_x
_atom_site_fract_y
_atom_site_fract_z
La1 La 0.000 0.500 0.000
Y1 Y 0.000 0.000 0.500
Mg1 Mg 0.500 0.500 0.000
Sb1 Sb 0.500 0.500 0.500
```

---

A plane-wave DFT calculation with meta-GGA SCAN was carried out for a crystal of LaMg2Sc2 relaxed with PBEsol.

Output
Calculated volume: 254.5 Å³ per cell
DFT formation energy: 0.7 kJ/mol of atoms
E: -16.30 eV/atom

The structure in CIF format:
```
data_LaMg2Sc2
_chemical_formula_sum 'La2 Mg4 Sc4'
_symmetry_space_group_name_H-M 'P 4/m b m'
_symmetry_Int_Tables_number 127
_symmetry_space_group_name_Hall '-P 4 2ab'
_cell_length_a 8.761
_cell_length_b 8.761
_cell_length_c 3.316
_cell_angle_alpha 90.00
_cell_angle_beta 90.00
_cell_angle_gamma 90.00
loop_
_atom_site_label
_atom_site_type_symbol
_atom_site_fract_x
_atom_site_fract_y
_atom_site_fract_z
La1 La 0.000 0.000 0.000
Mg1 Mg 0.169 0.331 0.500
Sc1 Sc 0.126 0.626 0.000
```

---

A plane-wave DFT calculation with meta-GGA SCAN was carried out for a crystal of LaMgSc relaxed with PBEsol.

Output
Calculated volume: 163.9 Å³ per cell
DFT formation energy: -1.9 kJ/mol of atoms
E: -20.79 eV/atom

The structure in CIF format:
```
data_LaMgSc
_chemical_formula_sum 'La2 Mg2 Sc2'
_symmetry_space_group_name_H-M 'I 4 m m'
_symmetry_Int_Tables_number 107
_symmetry_space_group_name_Hall 'I 4 -2'
_cell_length_a 3.568
_cell_length_b 3.568
_cell_length_c 12.878
_cell_angle_alpha 90.00
_cell_angle_beta 90.00
_cell_angle_gamma 90.00
loop_
_atom_site_label
_atom_site_type_symbol
_atom_site_fract_x
_atom_site_fract_y
_atom_site_fract_z
La1 La 0.000 0.000 0.000
Mg1 Mg 0.000 0.000 0.682
Sc1 Sc 0.000 0.000 0.325
```

---

A plane-wave DFT calculation with meta-GGA SCAN was carried out for a crystal of La2MgSe4 relaxed with PBEsol.

Output
Raw formation energy: -2.01 eV per atom
Calculated volume: 867.5 Å³ per cell
E: -26.51 eV/atom
Distance to the lowest polymorph of the same formula: 0.000 eV/atom

The structure in CIF format:
```
data_La2MgSe4
_chemical_formula_sum 'La8 Mg4 Se16'
_symmetry_space_group_name_H-M 'P n m a'
_symmetry_Int_Tables_number 62
_cell_length_a 14.427
_cell_length_b 8.675
_cell_length_c 6.931
_cell_angle_alpha 90.00
_cell_angle_beta 90.00
_cell_angle_gamma 90.00
loop_
_symmetry_equiv_pos_as_xyz
'x,y,z'
'-x,-y,-z'
'-x+1/2,-y,z+1/2'
'x+1/2,y,-z+1/2'
'x+1/2,-y+1/2,-z+1/2'
'-x+1/2,y+1/2,z+1/2'
'-x,y+1/2,-z'
'x,-y+1/2,z'
loop_
_atom_site_label
_atom_site_type_symbol
_atom_site_fract_x
_atom_site_fract_y
_atom_site_fract_z
La1 La 0.000 0.000 0.000
La2 La 0.228 0.250 0.480
Mg1 Mg 0.099 0.750 0.410
Se1 Se 0.066 0.250 0.742
Se2 Se 0.089 0.750 0.775
Se3 Se 0.174 0.519 0.234
```

---

A plane-wave DFT calculation with meta-GGA SCAN was carried out for a crystal of LaMgSe2 relaxed with PBEsol.

Output
Raw formation energy: -1.69 eV per atom
Calculated volume: 194.5 Å³ per cell
E: -23.75 eV/atom

The structure in CIF format:
```
data_LaMgSe2
_chemical_formula_sum 'La2 Mg2 Se4'
_symmetry_space_group_name_H-M 'A m m 2'
_symmetry_Int_Tables_number 38
_cell_length_a 4.274
_cell_length_b 3.955
_cell_length_c 11.503
_cell_angle_alpha 90.00
_cell_angle_beta 90.00
_cell_angle_gamma 90.00
loop_
_symmetry_equiv_pos_as_xyz
'x,y,z'
'-x,-y,z'
'-x,y,z'
'x,-y,z'
'x,y+1/2,z+1/2'
'-x,-y+1/2,z+1/2'
'-x,y+1/2,z+1/2'
'x,-y+1/2,z+1/2'
loop_
_atom_site_label
_atom_site_type_symbol
_atom_site_fract_x
_atom_site_fract_y
_atom_site_fract_z
La1 La 0.000 0.000 0.000
Mg1 Mg 0.500 0.000 0.235
Se1 Se 0.000 0.000 0.714
Se2 Se 0.500 0.000 0.457
```

---

A plane-wave DFT calculation with meta-GGA SCAN was carried out for a crystal of La2MgSe relaxed with PBEsol.

Output
Raw formation energy: -0.85 eV per atom
Calculated volume: 210.4 Å³ per cell
E: -28.66 eV/atom
Distance to the lowest polymorph of the same formula: 0.000 eV/atom

The structure in CIF format:
```
data_La2MgSe
_chemical_formula_sum 'La4 Mg2 Se2'
_symmetry_space_group_name_H-M 'C m m m'
_symmetry_Int_Tables_number 65
_symmetry_space_group_name_Hall '-C 2 2'
_cell_length_a 6.830
_cell_length_b 8.361
_cell_length_c 3.684
_cell_angle_alpha 90.00
_cell_angle_beta 90.00
_cell_angle_gamma 90.00
loop_
_atom_site_label
_atom_site_type_symbol
_atom_site_fract_x
_atom_site_fract_y
_atom_site_fract_z
La1 La 0.250 0.250 0.000
Mg1 Mg 0.000 0.000 0.500
Se1 Se 0.000 0.500 0.500
```

---

A plane-wave DFT calculation with meta-GGA SCAN was carried out for a crystal of La2MgSe relaxed with PBEsol.

Output
Raw formation energy: -0.68 eV per atom
Calculated volume: 211.3 Å³ per cell
E: -28.50 eV/atom
Distance to the lowest polymorph of the same formula: 0.162 eV/atom

The structure in CIF format:
```
data_La2MgSe
_chemical_formula_sum 'La4 Mg2 Se2'
_symmetry_space_group_name_H-M 'I -4 m 2'
_symmetry_Int_Tables_number 119
_symmetry_space_group_name_Hall 'I -4 -2'
_cell_length_a 4.454
_cell_length_b 4.454
_cell_length_c 10.649
_cell_angle_alpha 90.00
_cell_angle_beta 90.00
_cell_angle_gamma 90.00
loop_
_atom_site_label
_atom_site_type_symbol
_atom_site_fract_x
_atom_site_fract_y
_atom_site_fract_z
La1 La 0.000 0.000 0.000
La2 La 0.000 0.500 0.250
Mg1 Mg 0.000 0.000 0.500
Se1 Se 0.000 0.500 0.750
```

---

A plane-wave DFT calculation with meta-GGA SCAN was carried out for a crystal of La2MgSe relaxed with PBEsol.

Output
Raw formation energy: -0.71 eV per atom
Calculated volume: 477.0 Å³ per cell
E: -28.53 eV/atom
Distance to the lowest polymorph of the same formula: 0.135 eV/atom

The structure in CIF format:
```
data_La2MgSe
_chemical_formula_sum 'La8 Mg4 Se4'
_symmetry_space_group_name_H-M 'I -4 2 d'
_symmetry_Int_Tables_number 122
_symmetry_space_group_name_Hall 'I -4 2bw'
_cell_length_a 8.547
_cell_length_b 8.547
_cell_length_c 6.530
_cell_angle_alpha 90.00
_cell_angle_beta 90.00
_cell_angle_gamma 90.00
loop_
_atom_site_label
_atom_site_type_symbol
_atom_site_fract_x
_atom_site_fract_y
_atom_site_fract_z
La1 La 0.211 0.750 0.125
Mg1 Mg 0.000 0.000 0.500
Se1 Se 0.000 0.000 0.000
```

---

A plane-wave DFT calculation with meta-GGA SCAN was carried out for a crystal of La2MgSe relaxed with PBEsol.

Output
Raw formation energy: -0.84 eV per atom
Calculated volume: 106.6 Å³ per cell
E: -28.66 eV/atom
Distance to the lowest polymorph of the same formula: 0.003 eV/atom

The structure in CIF format:
```
data_La2MgSe
_chemical_formula_sum 'La2 Mg1 Se1'
_symmetry_space_group_name_H-M 'P 4/m m m'
_symmetry_Int_Tables_number 123
_symmetry_space_group_name_Hall '-P 4 2'
_cell_length_a 5.446
_cell_length_b 5.446
_cell_length_c 3.594
_cell_angle_alpha 90.00
_cell_angle_beta 90.00
_cell_angle_gamma 90.00
loop_
_atom_site_label
_atom_site_type_symbol
_atom_site_fract_x
_atom_site_fract_y
_atom_site_fract_z
La1 La 0.000 0.500 0.000
Mg1 Mg 0.000 0.000 0.500
Se1 Se 0.500 0.500 0.500
```

---

A plane-wave DFT calculation with meta-GGA SCAN was carried out for a crystal of La2MgSe4 relaxed with PBEsol.

Output
Raw formation energy: -1.97 eV per atom
Calculated volume: 688.0 Å³ per cell
E: -26.47 eV/atom
Distance to the lowest polymorph of the same formula: 0.037 eV/atom

The structure in CIF format:
```
data_La2MgSe4
_chemical_formula_sum 'La8 Mg4 Se16'
_symmetry_space_group_name_H-M 'I -4 2 d'
_symmetry_Int_Tables_number 122
_symmetry_space_group_name_Hall 'I -4 2bw'
_cell_length_a 8.664
_cell_length_b 8.664
_cell_length_c 9.165
_cell_angle_alpha 90.00
_cell_angle_beta 90.00
_cell_angle_gamma 90.00
loop_
_atom_site_label
_atom_site_type_symbol
_atom_site_fract_x
_atom_site_fract_y
_atom_site_fract_z
La1 La 0.126 0.250 0.125
Mg1 Mg 0.000 0.000 0.500
Se1 Se 0.071 0.193 0.802
```